This record from Alexandria describes ZnBiF6 after structural relaxation. The functional is PBE.

Cell: 5.8419 5.8419 5.8419 Å, 57.92 57.92 57.92°
With the nearest neighbours (Å) after each atom.
Sites, in units of the cell vectors:
Zn 0.0000 0.0000 0.0000  6 F 2.02
Bi 0.5000 0.5000 0.5000  6 F 2.18
F 0.1474 0.3334 0.7598  1 Zn 2.02, 1 Bi 2.18
F 0.2402 0.8526 0.6666  1 Zn 2.02, 1 Bi 2.18
F 0.3334 0.7598 0.1474  1 Zn 2.02, 1 Bi 2.18
F 0.6666 0.2402 0.8526  1 Zn 2.02, 1 Bi 2.18
F 0.7598 0.1474 0.3334  1 Zn 2.02, 1 Bi 2.18
F 0.8526 0.6666 0.2402  1 Zn 2.02, 1 Bi 2.18

Output
total magnetic moment = 0.000 μB/cell
crystal system = trigonal
polymorph energy (0 for the lowest one) = 0.0 meV/atom
density of states at the Fermi level = 2.403 states/eV/cell



This record from Alexandria describes Zn2BiF6 after structural relaxation. The functional is PBE.

Cell: 5.4567 5.4567 7.4050 Å, 114.01 114.01 44.50°
With the nearest neighbours (Å) after each atom.
Sites, in units of the cell vectors:
Zn 0.1789 0.1789 0.0990  6 F 2.03-2.18
Zn 0.8211 0.8211 0.9010  6 F 2.03-2.18
Bi 0.0000 0.0000 0.5000  6 F 2.37-2.46
F 0.0156 0.0156 0.1894  2 Zn 2.03-2.18
F 0.3053 0.3053 0.9370  3 Zn 2.10
F 0.3569 0.3569 0.3761  1 Zn 2.05
F 0.6431 0.6431 0.6239  1 Zn 2.05
F 0.6947 0.6947 0.0630  3 Zn 2.10
F 0.9844 0.9844 0.8106  2 Zn 2.03-2.18

Output
total magnetic moment = 0.000 μB/cell
crystal system = monoclinic
density of states at the Fermi level = 0.561 states/eV/cell



This record from Alexandria describes ZnBiF2 after structural relaxation. The functional is PBE.

Cell: 5.9560 5.9560 5.9560 Å, 121.32 121.32 87.74°
With the nearest neighbours (Å) after each atom.
Sites, in units of the cell vectors:
Zn 0.0000 0.0000 0.0000  4 F 1.90
Zn 0.7500 0.2500 0.5000  4 F 1.90
Bi 0.2500 0.7500 0.5000  4 F 2.96
Bi 0.5000 0.5000 0.0000  4 F 2.96
F 0.3750 0.2244 0.3494  2 Zn 1.90
F 0.7756 0.1250 0.1506  2 Zn 1.90
F 0.8750 0.0256 0.6506  2 Zn 1.90
F 0.9744 0.6250 0.8494  2 Zn 1.90

Output
total magnetic moment = 0.000 μB/cell
crystal system = tetragonal
polymorph energy (0 for the lowest one) = 169.5 meV/atom
density of states at the Fermi level = 0.793 states/eV/cell



This record from Alexandria describes ZnBiF5 after structural relaxation. The functional is PBE.

Cell: 5.9112 5.9244 8.5416 Å, 107.12 105.59 100.54°
With the nearest neighbours (Å) after each atom.
Sites, in units of the cell vectors:
Zn 0.0000 0.0000 0.0000  4 F 1.92-1.96
Zn 0.1263 0.6290 0.5015  4 F 1.92-1.96
Bi 0.5625 0.3150 0.7520  6 F 2.28
Bi 0.5639 0.8165 0.2520  6 F 2.28-2.29
F 0.2265 0.3891 0.5922  1 Zn 1.92
F 0.2405 0.6202 0.3057  1 Zn 1.96
F 0.3106 0.9387 0.6967  1 Zn 1.96
F 0.3317 0.9926 0.0909  1 Zn 1.92
F 0.4903 0.4926 0.0032  2 Bi 2.28
F 0.6366 0.1401 0.5022  2 Bi 2.28-2.29
F 0.7947 0.6369 0.4105  1 Zn 1.92
F 0.8140 0.6904 0.8052  1 Zn 1.96
F 0.8867 0.0106 0.1964  1 Zn 1.96
F 0.8999 0.2399 0.9092  1 Zn 1.92

Output
total magnetic moment = 0.000 μB/cell
crystal system = triclinic
polymorph energy (0 for the lowest one) = 39.1 meV/atom
density of states at the Fermi level = 0.000 states/eV/cell



This record from Alexandria describes Zn2BiF8 after structural relaxation. The functional is PBE.

Cell: 6.5389 6.5389 6.5389 Å, 129.90 129.90 73.56°
With the nearest neighbours (Å) after each atom.
Sites, in units of the cell vectors:
Zn 0.2500 0.7500 0.5000  4 F 1.96
Zn 0.7500 0.2500 0.5000  4 F 1.96
Bi 0.0000 0.0000 0.0000  8 F 2.27
F 0.0393 0.5819 0.8710  1 Zn 1.96
F 0.1683 0.0393 0.4574  1 Zn 1.96
F 0.2890 0.4181 0.4574  1 Zn 1.96
F 0.4181 0.9607 0.1290  1 Zn 1.96
F 0.5819 0.7110 0.5426  1 Zn 1.96
F 0.7110 0.1683 0.1290  1 Zn 1.96
F 0.8317 0.2890 0.8710  1 Zn 1.96
F 0.9607 0.8317 0.5426  1 Zn 1.96

Output
total magnetic moment = 0.000 μB/cell
crystal system = tetragonal
polymorph energy (0 for the lowest one) = 0.0 meV/atom
density of states at the Fermi level = 4.254 states/eV/cell



This record from Alexandria describes ZnBi2F11 after structural relaxation. The functional is PBE.

Cell: 8.3845 8.3845 8.3845 Å, 119.86 107.21 101.90°
With the nearest neighbours (Å) after each atom.
Sites, in units of the cell vectors:
Zn 0.2500 0.2500 0.0000  4 F 1.96
Zn 0.7500 0.7500 0.0000  4 F 1.96
Bi 0.1976 0.6180 0.8156  7 F 2.07-2.21
Bi 0.3024 0.1180 0.4204  7 F 2.07-2.21
Bi 0.6976 0.8820 0.5796  7 F 2.07-2.21
Bi 0.8024 0.3820 0.1844  7 F 2.07-2.21
F 0.0000 0.5000 0.5000  2 Bi 2.20, 2 F 2.44
F 0.0064 0.9457 0.2121  1 Zn 1.96, 1 Bi 2.18
F 0.0519 0.4392 0.1782  1 Bi 2.07
F 0.2132 0.3559 0.5691  2 Bi 2.19-2.21, 1 F 2.44
F 0.2336 0.4457 0.9393  1 Zn 1.96, 1 Bi 2.18
F 0.2390 0.0608 0.6126  1 Bi 2.07
F 0.2610 0.8737 0.8218  1 Bi 2.07
F 0.2664 0.2057 0.2121  1 Zn 1.96, 1 Bi 2.18
F 0.2868 0.8559 0.1427  2 Bi 2.19-2.21, 1 F 2.44
F 0.4481 0.6263 0.3874  1 Bi 2.07
F 0.4936 0.7057 0.9393  1 Zn 1.96, 1 Bi 2.18
F 0.5000 0.0000 0.5000  2 Bi 2.20, 2 F 2.44
F 0.5064 0.2943 0.0607  1 Zn 1.96, 1 Bi 2.18
F 0.5519 0.3737 0.6126  1 Bi 2.07
F 0.7132 0.1441 0.8573  2 Bi 2.19-2.21, 1 F 2.44
F 0.7336 0.7943 0.7879  1 Zn 1.96, 1 Bi 2.18
F 0.7390 0.1263 0.1782  1 Bi 2.07
F 0.7610 0.9392 0.3874  1 Bi 2.07
F 0.7664 0.5543 0.0607  1 Zn 1.96, 1 Bi 2.18
F 0.7868 0.6441 0.4309  2 Bi 2.19-2.21, 1 F 2.44
F 0.9481 0.5608 0.8218  1 Bi 2.07
F 0.9936 0.0543 0.7879  1 Zn 1.96, 1 Bi 2.18

Output
total magnetic moment = 0.000 μB/cell
crystal system = orthorhombic
density of states at the Fermi level = 4.725 states/eV/cell



This record from Alexandria describes ZnBiF6 after structural relaxation. The functional is PBE.

Cell: 5.3684 5.3684 9.9755 Å, 90.00 90.00 120.00°
With the nearest neighbours (Å) after each atom.
Sites, in units of the cell vectors:
Zn 0.3333 0.6667 0.2500  6 F 2.04
Zn 0.6667 0.3333 0.7500  6 F 2.04
Bi 0.0000 0.0000 0.0000  6 F 2.18
Bi 0.0000 0.0000 0.5000  6 F 2.18
F 0.0447 0.3490 0.1281  1 Zn 2.04, 1 Bi 2.18
F 0.0447 0.6957 0.3719  1 Zn 2.04, 1 Bi 2.18
F 0.3043 0.3490 0.3719  1 Zn 2.04, 1 Bi 2.18
F 0.3043 0.9553 0.1281  1 Zn 2.04, 1 Bi 2.18
F 0.3490 0.0447 0.6281  1 Zn 2.04, 1 Bi 2.18
F 0.3490 0.3043 0.8719  1 Zn 2.04, 1 Bi 2.18
F 0.6510 0.6957 0.1281  1 Zn 2.04, 1 Bi 2.18
F 0.6510 0.9553 0.3719  1 Zn 2.04, 1 Bi 2.18
F 0.6957 0.0447 0.8719  1 Zn 2.04, 1 Bi 2.18
F 0.6957 0.6510 0.6281  1 Zn 2.04, 1 Bi 2.18
F 0.9553 0.3043 0.6281  1 Zn 2.04, 1 Bi 2.18
F 0.9553 0.6510 0.8719  1 Zn 2.04, 1 Bi 2.18

Output
total magnetic moment = 0.000 μB/cell
crystal system = trigonal
polymorph energy (0 for the lowest one) = 16.1 meV/atom
density of states at the Fermi level = 5.535 states/eV/cell



This record from Alexandria describes ZnBi2F after structural relaxation. The functional is PBE.

Cell: 9.3481 9.3481 9.3481 Å, 149.74 149.74 43.33°
With the nearest neighbours (Å) after each atom.
Sites, in units of the cell vectors:
Zn 0.0000 0.0000 0.0000  4 Bi 2.89
Zn 0.7500 0.2500 0.5000  4 Bi 2.89
Bi 0.1750 0.6250 0.0500  2 F 2.68, 2 Zn 2.89
Bi 0.3750 0.4250 0.5500  2 F 2.68, 2 Zn 2.89
Bi 0.5750 0.1250 0.9500  2 F 2.68, 2 Zn 2.89
Bi 0.8750 0.8250 0.4500  2 F 2.68, 2 Zn 2.89
F 0.2500 0.7500 0.5000  4 Bi 2.68
F 0.5000 0.5000 0.0000  4 Bi 2.68

Output
total magnetic moment = 0.000 μB/cell
crystal system = tetragonal
polymorph energy (0 for the lowest one) = 155.8 meV/atom
density of states at the Fermi level = 4.287 states/eV/cell



This record from Alexandria describes ZnBi2F after structural relaxation. The functional is PBE.

Cell: 4.9273 4.9273 4.9273 Å, 60.00 60.00 60.00°
With the nearest neighbours (Å) after each atom.
Sites, in units of the cell vectors:
Zn 0.0000 0.0000 0.0000  8 Bi 3.02
Bi 0.2500 0.2500 0.2500  4 F 3.02, 4 Zn 3.02
Bi 0.7500 0.7500 0.7500  4 F 3.02, 4 Zn 3.02
F 0.5000 0.5000 0.5000  8 Bi 3.02

Output
total magnetic moment = 0.000 μB/cell
crystal system = cubic
polymorph energy (0 for the lowest one) = 0.0 meV/atom
density of states at the Fermi level = 1.289 states/eV/cell



This record from Alexandria describes ZnBiF2 after structural relaxation. The functional is PBE.

Cell: 4.5179 4.5179 4.5179 Å, 60.00 60.00 60.00°
With the nearest neighbours (Å) after each atom.
Sites, in units of the cell vectors:
Zn 0.0000 0.0000 0.0000  8 F 2.77
Bi 0.5000 0.5000 0.5000  8 F 2.77
F 0.2500 0.2500 0.2500  4 Bi 2.77, 4 Zn 2.77
F 0.7500 0.7500 0.7500  4 Bi 2.77, 4 Zn 2.77

Output
total magnetic moment = 0.000 μB/cell
crystal system = cubic
polymorph energy (0 for the lowest one) = 481.0 meV/atom
density of states at the Fermi level = 2.069 states/eV/cell



This record from Alexandria describes ZnBi3F after structural relaxation. The functional is PBE.

Cell: 5.3690 5.3690 5.3690 Å, 90.00 90.00 90.00°
With the nearest neighbours (Å) after each atom.
Sites, in units of the cell vectors:
Zn 0.0000 0.0000 0.0000  6 Bi 2.68
Bi 0.0000 0.0000 0.5000  2 Zn 2.68
Bi 0.0000 0.5000 0.0000  2 Zn 2.68
Bi 0.5000 0.0000 0.0000  2 Zn 2.68
F 0.5000 0.5000 0.5000  12 Bi 3.80

Output
total magnetic moment = 0.000 μB/cell
crystal system = cubic
polymorph energy (0 for the lowest one) = 254.7 meV/atom
density of states at the Fermi level = 3.876 states/eV/cell



This record from Alexandria describes Zn2Bi2F after structural relaxation. The functional is PBE.

Cell: 8.5751 8.5751 8.5751 Å, 155.59 155.59 34.80°
With the nearest neighbours (Å) after each atom.
Sites, in units of the cell vectors:
Zn 0.2500 0.7500 0.5000  4 Zn 2.56
Zn 0.7500 0.2500 0.5000  4 Zn 2.56
Bi 0.1078 0.1078 0.0000  4 Zn 2.95, 4 F 3.11
Bi 0.8922 0.8922 0.0000  4 Zn 2.95, 4 F 3.11
F 0.5000 0.5000 0.0000  8 Bi 3.11

Output
total magnetic moment = 0.000 μB/cell
crystal system = tetragonal
polymorph energy (0 for the lowest one) = 0.0 meV/atom
density of states at the Fermi level = 1.110 states/eV/cell



Values of energy relative to the elements, uncorrected, in order: -2.162; -2.125; -1.316; -2.338; -2.113; -1.937; -2.146; -0.414; -0.570; -1.004; 0.162; -0.422, all in eV/atom.